The following is a PBE calculation of a relaxed BaGe4Au6 crystal, from the Alexandria database.

Properties
Symmetry: P1
DFT total energy (eV/cell): -42.03

a = 7.698 Å, b = 7.168 Å, c = 8.120 Å
α = 51.41°, β = 49.48°, γ = 78.40°
Fractional positions:
Ba 0.988 0.994 0.009
Ge 0.525 0.193 0.296
Ge 0.848 0.789 0.735
Ge 0.200 0.533 0.306
Ge 0.434 0.472 0.704
Au 0.478 0.809 0.728
Au 0.771 0.450 0.736
Au 0.540 0.552 0.299
Au 0.002 0.491 0.005
Au 0.207 0.192 0.260
Au 0.506 0.026 0.922